Entry 1:
RbTl3Rh: relaxed, PBE-GGA.

Output
Density of states at the Fermi level in states/eV per atom: 0.506
Mass density in Mg/m³: 7.848
Calculated formation energy in eV per formula unit: -0.1
Space group: P1

Unit cell a=5.280 b=7.907 c=8.217 alpha=81.35 beta=89.83 gamma=89.91
Sites, in units of the cell vectors:
Rb1 0.000 0.000 0.000
Rb2 0.500 0.335 0.659
Tl1 0.000 0.078 0.443
Tl2 0.000 0.586 0.410
Tl3 0.001 0.549 0.920
Tl4 0.500 0.334 0.185
Tl5 0.500 0.816 0.309
Tl6 0.502 0.821 0.706
Rh1 0.000 0.354 0.212
Rh2 0.002 0.781 0.648

=====

Entry 2:
Tm3Mg3Ni: relaxed, PBE-GGA.

Output
Density of states at the Fermi level in states/eV per atom: 1.347
Mass density in Mg/m³: 6.081
Calculated formation energy in eV per formula unit: -1.1
Space group: Fd-3m

Unit cell a=9.954 b=9.954 c=9.954 alpha=60.00 beta=60.00 gamma=60.00
Sites, in units of the cell vectors:
Tm1 0.071 0.071 0.679
Tm2 0.071 0.679 0.071
Tm3 0.071 0.679 0.679
Tm4 0.321 0.321 0.929
Tm5 0.321 0.929 0.321
Tm6 0.321 0.929 0.929
Tm7 0.679 0.071 0.071
Tm8 0.679 0.071 0.679
Tm9 0.679 0.679 0.071
Tm10 0.929 0.321 0.321
Tm11 0.929 0.321 0.929
Tm12 0.929 0.929 0.321
Mg1 0.000 0.500 0.500
Mg2 0.294 0.294 0.294
Mg3 0.294 0.294 0.618
Mg4 0.294 0.618 0.294
Mg5 0.382 0.706 0.706
Mg6 0.500 0.000 0.500
Mg7 0.500 0.500 0.000
Mg8 0.500 0.500 0.500
Mg9 0.618 0.294 0.294
Mg10 0.706 0.382 0.706
Mg11 0.706 0.706 0.382
Mg12 0.706 0.706 0.706
Ni1 0.000 0.000 0.000
Ni2 0.000 0.000 0.500
Ni3 0.000 0.500 0.000
Ni4 0.500 0.000 0.000

=====

Question: What is the calculated formation energy in the second record?
Answer: -1.1 eV per formula unit

=====

Question: What is the formula in the second record?
Answer: Tm3Mg3Ni